(1)
Entry from the Open Quantum Materials Database: a relaxed PaAsAu crystal (PBE).

It has space group F-43m (No. 216), with a = 6.8101 Å, b = 6.8101 Å, c = 6.8101 Å, α = 90.00°, β = 90.00° and γ = 90.00°. The inequivalent atoms are Pa at (0.0000, 0.0000, 0.0000), As at (0.2500, 0.2500, 0.7500) and Au at (0.2500, 0.2500, 0.2500).

The value obtained for the magnetization is 0.95 μB per formula unit. The crystal system is cubic. The value obtained for the offset from the most stable computed form is 0.0000 eV/atom.

(2)
Entry from the Open Quantum Materials Database: a relaxed PaAsAu crystal (PBE).

It has space group F-43m (No. 216), with a = 6.6181 Å, b = 6.6181 Å, c = 6.6181 Å, α = 90.00°, β = 90.00° and γ = 90.00°. The inequivalent atoms are Pa at (0.0000, 0.0000, 0.0000), As at (0.2500, 0.2500, 0.7500) and Au at (0.0000, 0.0000, 0.5000).

The value obtained for the magnetization is 0.89 μB per formula unit. The crystal system is cubic. The value obtained for the offset from the most stable computed form is 0.1783 eV/atom.